Entry 1:
First-principles (PBE-GGA) data for an optimized crystal structure of Ti2TlTc2, as listed in Alexandria via LeMat-Bulk.

The structure in extended XYZ format:
```
10
Lattice="-4.414 0.578 5.870 -5.893 -0.719 -4.361 0.100 -3.151 0.385" Properties=species:S:1:pos:R:3 pbc="T T T"
Ti -7.831 -1.814 0.284
Ti -4.426 -1.956 -1.764
Ti -2.377 -1.479 1.609
Ti -5.781 -1.337 3.658
Tc -7.573 0.032 2.222
Tc -2.734 -0.174 -0.713
Tc -3.685 0.268 3.151
Tc -6.622 -0.410 -1.643
Tl 0.000 0.000 0.000
Tl -5.154 -0.071 0.754
```

Summary:
- Space-group type: P4/mbm

=====

Entry 2:
First-principles (PBE-GGA) data for an optimized crystal structure of HoTm2Ga4, as listed in Alexandria via LeMat-Bulk.

The structure in extended XYZ format:
```
7
Lattice="-1.245 1.744 -3.496 3.562 -1.199 -1.867 -5.065 -8.021 0.208" Properties=species:S:1:pos:R:3 pbc="T T T"
Ga -4.003 -5.833 -3.888
Ga -2.750 -5.454 -1.741
Ga 0.001 -2.023 -3.414
Ga 1.254 -1.644 -1.267
Ho -0.623 0.872 -1.748
Tm -1.300 -4.604 -4.238
Tm -1.448 -2.873 -0.917
```

Summary:
- Space-group type: Immm

=====

Number 1: final energy -7.7065 eV per atom. Number 2: final energy -4.2796 eV per atom.